Si2TcSb after structural relaxation. Source: Alexandria via LeMat-Bulk, functional PBE.

Formation energy without anion corrections: 145 meV per atom
Mass density: 6.34 g/cm³
Space group: C2/m
E: -6.188 eV per atom

Cell lengths 4.3627, 4.3627, 5.5651 Å; angles 81.02, 81.02, 43.78 degrees
Sites, in units of the cell vectors:
1 Sb 0.2500 0.2500 0.2500
2 Si 0.0226 0.0226 0.9107
3 Si 0.4774 0.4774 0.5893
4 Tc 0.7500 0.7500 0.7500